{
  "formula": "MnGeF2",
  "functional": "PBE+U",
  "state": "optimized geometry",
  "cell": [[-8.6297, -1.4649, -2.1586], [-7.7675, -4.3935, -1.2806], [-8.6744, -2.2806, 0.9111]],
  "species": ["F", "F", "Ge", "Mn"],
  "frac_coords": [[0.1263, 0.1263, 0.1263], [0.8737, 0.8737, 0.8737], [0.0000, 0.0000, 0.0000], [0.5000, 0.5000, 0.5000]],
  "energy_ev_per_atom": -5.588,
  "dos_ef_per_ev_cell": 0.91
}